# Mn2GeH2 (PBE, optimized geometry)
data_Mn2GeH2
_chemical_formula_sum 'Mn4 Ge2 H4'
_space_group_name_H-M_alt 'P 4/m b m'
_space_group_IT_number 127
_space_group_name_Hall '-P 4 2ab'
_cell_length_a 6.028
_cell_length_b 6.028
_cell_length_c 2.700
_cell_angle_alpha 90.00
_cell_angle_beta 90.00
_cell_angle_gamma 90.00
loop_
_atom_site_label
_atom_site_fract_x
_atom_site_fract_y
_atom_site_fract_z
Mn1 0.117 0.383 0.000
Ge1 0.000 0.000 0.000
H1 0.102 0.602 0.500
# Energy relative to the lowest polymorph listed for this composition = 2.36 eV per formula unit


# Mn3GeH (PBE, optimized geometry)
data_Mn3GeH
_chemical_formula_sum 'Mn24 Ge8 H8'
_space_group_name_H-M_alt 'C 1 2/c 1'
_space_group_IT_number 15
_space_group_name_Hall '-C 2yc'
_cell_length_a 12.273
_cell_length_b 7.664
_cell_length_c 4.425
_cell_angle_alpha 90.00
_cell_angle_beta 96.96
_cell_angle_gamma 90.00
loop_
_atom_site_label
_atom_site_fract_x
_atom_site_fract_y
_atom_site_fract_z
Mn1 0.168 0.085 0.146
Mn2 0.174 0.249 0.636
Mn3 0.180 0.416 0.141
Ge1 0.000 0.106 0.750
Ge2 0.000 0.305 0.250
H1 0.102 0.420 0.781
# Energy relative to the lowest polymorph listed for this composition = 1.07 eV per formula unit


# Mn3GeH (PBE, optimized geometry)
data_Mn3GeH
_chemical_formula_sum 'Mn12 Ge4 H4'
_space_group_name_H-M_alt 'I -4 m 2'
_space_group_IT_number 119
_space_group_name_Hall 'I -4 -2'
_cell_length_a 4.723
_cell_length_b 4.723
_cell_length_c 9.458
_cell_angle_alpha 90.00
_cell_angle_beta 90.00
_cell_angle_gamma 90.00
loop_
_atom_site_label
_atom_site_fract_x
_atom_site_fract_y
_atom_site_fract_z
Mn1 0.000 0.000 0.144
Mn2 0.000 0.235 0.645
Ge1 0.000 0.500 0.089
H1 0.000 0.000 0.500
H2 0.000 0.500 0.750
# Energy relative to the lowest polymorph listed for this composition = 2.16 eV per formula unit


| no. | E_tot (Ry/atom) |
| --- | --- |
| 1 | -0.399 |
| 2 | -0.516 |
| 3 | -0.500 |